Entry from the Alexandria database: a geometry-optimized BiSb3C structure (PBE).

Computed properties:
Crystal system: cubic
Uncorrected energy: -2.78 eV per atom
Offset from the most stable computed form: 1447.8 meV per atom
Uncorrected formation energy: 2.31 eV/atom

a b c (Å): 5.896 5.896 5.896
angles (deg): 90.00 90.00 90.00
Space group Pm-3m (No. 221)
One atom of each set of equivalent atoms:
Bi 0.000 0.000 0.000
Sb 0.000 0.000 0.500
C 0.500 0.500 0.500